# 1
A geometry-optimized HfAlPd2 structure. Source: the Open Quantum Materials Database, functional PBE.

Values from the calculation:
Calculated total energy: -108.38 eV/cell

```
16
Lattice="-0.610 -4.841 -2.468 6.835 -1.330 0.919 -1.402 -2.959 6.150" Properties=species:S:1:pos:R:3 pbc="T T T"
Al 3.473 -6.805 4.580
Pd 5.880 -4.639 0.642
Hf -0.155 -7.261 4.067
Pd 3.122 -4.103 0.271
Hf 4.163 -4.249 3.149
Al 4.055 -6.267 1.025
Hf 0.660 -4.881 1.451
Pd 4.969 -7.783 2.868
Hf 4.977 -1.869 0.534
Pd -0.147 -1.347 1.732
Pd -1.058 -4.490 3.958
Al 0.767 -2.862 3.575
Pd 1.700 -5.027 4.329
Al 1.349 -2.325 0.020
Pd 2.611 -1.884 2.102
Pd 2.211 -7.246 2.498
```

# 2
A geometry-optimized KLaPm structure. Source: the Open Quantum Materials Database, functional PBE.

Values from the calculation:
Calculated total energy: -7.43 eV/cell

```
3
Lattice="0.000 4.132 4.132 4.132 0.000 4.132 4.132 4.132 0.000" Properties=species:S:1:pos:R:3 pbc="T T T"
K 2.066 2.066 2.066
Pm 6.197 6.197 6.197
La 0.000 0.000 0.000
```

# 3
A geometry-optimized GaHgPt structure. Source: the Open Quantum Materials Database, functional PBE.

Values from the calculation:
Calculated total energy: -9.91 eV/cell

```
3
Lattice="0.000 3.148 3.148 3.148 0.000 3.148 3.148 3.148 0.000" Properties=species:S:1:pos:R:3 pbc="T T T"
Pt 0.000 0.000 0.000
Hg 4.722 4.722 4.722
Ga 1.574 1.574 1.574
```

# 4
A geometry-optimized KSmNO structure. Source: the Open Quantum Materials Database, functional PBE.

Values from the calculation:
Calculated total energy: -47.74 eV/cell

```
8
Lattice="-1.753 -3.112 1.967 5.352 -3.085 -0.109 1.847 2.980 6.361" Properties=species:S:1:pos:R:3 pbc="T T T"
O 5.314 -1.539 6.529
K 3.131 -0.490 2.016
K 6.453 -0.989 4.188
O 1.211 -2.299 1.669
N 5.538 -1.973 1.815
Sm 4.770 -4.163 1.893
N 3.596 0.754 4.399
Sm 3.350 -0.594 6.273
```

# 5
A geometry-optimized HfAu structure. Source: the Open Quantum Materials Database, functional PBE.

Values from the calculation:
Energy relative to the elements: -236 meV per atom

```
2
Lattice="3.164 0.000 0.000 -1.582 2.740 0.000 0.000 0.000 4.557" Properties=species:S:1:pos:R:3 pbc="T T T"
Au 1.582 0.913 3.418
Hf 0.000 1.827 1.139
```

# 6
A geometry-optimized GaPOsO structure. Source: the Open Quantum Materials Database, functional PBE.

Values from the calculation:
Calculated total energy: -46.58 eV/cell

```
8
Lattice="-0.476 -1.478 -2.971 -1.435 -2.614 1.530 -9.027 4.498 -0.786" Properties=species:S:1:pos:R:3 pbc="T T T"
P -3.188 -0.930 -0.914
Os -8.792 1.863 -1.402
O -1.680 -3.348 0.045
Ga -6.195 -1.098 -0.349
P -6.807 3.390 -0.593
O -1.201 -2.780 -2.206
Ga -5.716 -0.530 -2.599
Os -1.203 0.599 -0.105
```

# 7
A geometry-optimized ZnFeSnS3 structure. Source: the Open Quantum Materials Database, functional PBE.

Values from the calculation:
Calculated total energy: -55.22 eV/cell

```
12
Lattice="6.484 -1.878 0.000 6.484 1.878 0.000 0.000 0.000 9.508" Properties=species:S:1:pos:R:3 pbc="T T T"
S 1.075 0.000 2.377
S 11.894 0.000 7.131
Sn 9.883 0.000 2.377
S 4.799 0.000 4.230
Fe 0.000 0.000 4.754
S 4.799 0.000 0.524
Fe 0.000 0.000 0.000
Sn 3.086 0.000 7.131
Zn 6.791 0.000 7.131
Zn 6.178 0.000 2.377
S 8.170 0.000 5.278
S 8.170 0.000 8.984
```

# 8
A geometry-optimized LiPmB structure. Source: the Open Quantum Materials Database, functional PBE.

Values from the calculation:
Calculated total energy: -12.76 eV/cell

```
3
Lattice="-1.433 1.853 3.612 -3.929 -0.940 1.489 -0.440 -2.336 3.590" Properties=species:S:1:pos:R:3 pbc="T T T"
B 0.000 0.000 0.000
Pm -4.352 -1.067 6.518
Li -1.451 -0.356 2.173
```

# 9
A geometry-optimized BeIrAu structure. Source: the Open Quantum Materials Database, functional PBE.

Values from the calculation:
Calculated total energy: -15.95 eV/cell

```
3
Lattice="0.000 2.780 2.780 2.780 0.000 2.780 2.780 2.780 0.000" Properties=species:S:1:pos:R:3 pbc="T T T"
Au 1.390 1.390 1.390
Be 0.000 0.000 0.000
Ir 4.170 4.170 4.170
```

# 10
A geometry-optimized HoZnO3 structure. Source: the Open Quantum Materials Database, functional PBE.

Values from the calculation:
Calculated total energy: -30.52 eV/cell

```
5
Lattice="-2.770 -0.742 -2.457 1.289 -3.528 -0.388 -2.422 -1.226 3.102" Properties=species:S:1:pos:R:3 pbc="T T T"
O -2.936 -1.156 0.757
Zn -2.106 -2.826 0.326
O -0.960 -2.246 -1.142
O -0.906 -2.549 1.791
Ho -2.339 -1.184 2.995
```

# 11
A geometry-optimized HfAlTl structure. Source: the Open Quantum Materials Database, functional PBE.

Values from the calculation:
Calculated total energy: -14.75 eV/cell

```
3
Lattice="-4.522 -0.165 -1.461 -3.165 3.110 1.708 -1.718 3.430 -2.810" Properties=species:S:1:pos:R:3 pbc="T T T"
Al -2.351 1.594 -0.641
Tl -7.054 4.782 -1.922
Hf 0.000 0.000 0.000
```

# 12
A geometry-optimized GdPaW structure. Source: the Open Quantum Materials Database, functional PBE.

Values from the calculation:
Energy relative to the elements: 1292 meV per atom

```
3
Lattice="0.000 3.378 3.378 3.378 0.000 3.378 3.378 3.378 0.000" Properties=species:S:1:pos:R:3 pbc="T T T"
W 5.067 5.067 5.067
Gd 1.689 1.689 1.689
Pa 0.000 0.000 0.000
```

# 13
A geometry-optimized Cu7Ag3 structure. Source: the Open Quantum Materials Database, functional PBE.

Values from the calculation:
Energy relative to the elements: 77 meV per atom

```
10
Lattice="4.283 -1.889 0.000 4.283 1.889 0.000 -0.115 0.000 8.534" Properties=species:S:1:pos:R:3 pbc="T T T"
Cu 0.752 0.000 5.841
Cu 5.124 0.000 1.781
Cu 2.636 0.000 1.011
Cu 7.663 0.000 2.519
Ag 6.716 0.000 4.984
Ag 3.407 0.000 6.832
Ag 5.931 0.000 7.826
Cu 4.175 0.000 4.105
Cu 1.572 0.000 3.300
Cu 0.058 0.000 0.205
```

# 14
A geometry-optimized BaYAg structure. Source: the Open Quantum Materials Database, functional PBE.

Values from the calculation:
Calculated total energy: -9.04 eV/cell

```
3
Lattice="-1.161 -5.135 0.263 -4.766 -1.703 -1.472 -0.543 -2.809 -4.427" Properties=species:S:1:pos:R:3 pbc="T T T"
Ag -1.618 -2.412 -1.409
Y -4.853 -7.236 -4.227
Ba 0.000 0.000 0.000
```

# 15
A geometry-optimized TbCdAsO structure. Source: the Open Quantum Materials Database, functional PBE.

Values from the calculation:
Calculated total energy: -41.88 eV/cell

```
8
Lattice="4.157 0.000 0.000 0.000 6.056 0.000 0.000 0.000 6.811" Properties=species:S:1:pos:R:3 pbc="T T T"
Tb 2.079 0.271 4.052
As 0.000 1.262 2.218
O 2.079 1.397 5.945
Cd 0.000 2.363 6.542
Tb 2.079 5.785 0.647
Cd 0.000 3.693 3.136
O 2.079 4.659 2.540
As 0.000 4.794 5.624
```

# 16
A geometry-optimized ScNiBAu structure. Source: the Open Quantum Materials Database, functional PBE.

Values from the calculation:
Calculated total energy: -21.38 eV/cell

```
4
Lattice="0.000 3.055 3.055 3.055 0.000 3.055 3.055 3.055 0.000" Properties=species:S:1:pos:R:3 pbc="T T T"
B 0.000 0.000 0.000
Au 3.055 3.055 3.055
Ni 4.583 4.583 4.583
Sc 1.528 1.528 1.528
```

# 17
A geometry-optimized GdTm2Mg3Pt2Au structure. Source: the Open Quantum Materials Database, functional PBE.

Values from the calculation:
Calculated total energy: -41.48 eV/cell

```
9
Lattice="-3.336 2.267 0.044 -1.169 -1.859 7.116 4.060 6.007 -1.699" Properties=species:S:1:pos:R:3 pbc="T T T"
Pt -1.104 1.882 4.233
Mg -1.815 0.788 6.702
Gd 1.205 1.729 2.258
Mg 2.093 6.666 0.114
Tm 1.204 1.653 6.119
Pt 0.668 4.547 1.245
Mg 0.497 4.240 4.078
Tm 3.374 4.918 2.460
Au 2.881 4.135 5.400
```

# 18
A geometry-optimized Li2NiB structure. Source: the Open Quantum Materials Database, functional PBE.

Values from the calculation:
Calculated total energy: -15.68 eV/cell

```
4
Lattice="0.000 2.639 2.639 2.639 0.000 2.639 2.639 2.639 0.000" Properties=species:S:1:pos:R:3 pbc="T T T"
Ni 1.320 1.320 1.320
B 2.639 2.639 2.639
Li 0.000 0.000 0.000
Li 3.959 3.959 3.959
```

# 19
A geometry-optimized AsIrOsO structure. Source: the Open Quantum Materials Database, functional PBE.

Values from the calculation:
Calculated total energy: -57.24 eV/cell

```
8
Lattice="-1.262 0.994 -3.556 -3.633 -1.004 1.009 -1.150 6.360 2.187" Properties=species:S:1:pos:R:3 pbc="T T T"
O -2.448 -0.005 -1.274
As -2.122 1.188 1.086
Ir -3.023 3.175 -0.180
As -1.476 5.167 -0.173
Os -0.841 1.660 -1.378
Ir -0.575 3.180 1.093
Os -2.757 4.695 2.291
O 0.000 0.000 0.000
```

# 20
A geometry-optimized YCoReBi structure. Source: the Open Quantum Materials Database, functional PBE.

Values from the calculation:
Calculated total energy: -27.18 eV/cell

```
4
Lattice="-0.815 -4.567 1.395 -0.511 -1.041 4.704 -4.340 -1.262 1.744" Properties=species:S:1:pos:R:3 pbc="T T T"
Bi 0.000 0.000 0.000
Re -2.833 -3.435 3.922
Co -4.250 -5.153 5.882
Y -1.417 -1.718 1.961
```